## Ba2GaSbP (GGA-PBE)

Data for crystalline Ba2GaSbP at its relaxed geometry.

Properties
Raw formation energy   -0.844 eV/atom
Fermi-level density of states   4.10 states/eV/cell

a = 4.683 Å, b = 7.699 Å, c = 10.219 Å
α = 107.75°, β = 90.00°, γ = 90.00°
Fractional positions:
Sb (0.250, 0.677, 0.299)
Sb (0.750, 0.323, 0.701)
Ga (0.750, 0.485, 0.262)
Ga (0.250, 0.515, 0.738)
P (0.750, 0.172, 0.173)
P (0.250, 0.828, 0.827)
Ba (0.750, 0.790, 0.605)
Ba (0.750, 0.759, 0.023)
Ba (0.250, 0.210, 0.395)
Ba (0.250, 0.241, 0.977)